[1]
The following is a DFT calculation (PBE) of an optimized crystal structure of Np2Co4SiGe3.

Formation energy (no corrections) ... -0.330 eV/atom
Energy ... -7.69 eV per atom
Size of the total moment ... 0.670 μB/atom

a b c (Å): 3.9880 3.9880 9.7043
angles (deg): 90.00 90.00 90.00
Closest atoms and distances in Å follow each position.
Space group P-4m2 (No. 115)
One atom of each set of equivalent atoms:
1 Np 0.0000 0.5000 0.2429  8 Co 3.03-3.19, 6 Ge 3.07-3.09, 2 Si 3.09
2 Co 0.0000 0.0000 0.5000  4 Ge 2.36
3 Co 0.0000 0.5000 0.8722  3 Ge 2.34-2.35, 2 Si 2.35
4 Co 0.5000 0.5000 0.5000  4 Ge 2.36
5 Si 0.5000 0.5000 0.0000  4 Co 2.35
6 Ge 0.0000 0.0000 0.0000  4 Co 2.35
7 Ge 0.0000 0.5000 0.6310  5 Co 2.34-2.36

=====

[2]
The following is a DFT calculation (PBE) of an optimized crystal structure of NpCoTcGe.

Energy ... -8.78 eV per atom
Size of the total moment ... 0.670 μB/atom
Energy of formation from the pure elements ... -0.0254 eV/atom

a b c (Å): 6.3329 6.3329 6.3329
angles (deg): 90.00 90.00 90.00
Closest atoms and distances in Å follow each position.
Space group F-43m (No. 216)
One atom of each set of equivalent atoms:
1 Np 0.0000 0.0000 0.0000  4 Tc 2.74, 4 Co 2.74
2 Co 0.2500 0.2500 0.7500  4 Ge 2.74, 4 Np 2.74
3 Tc 0.2500 0.2500 0.2500  4 Ge 2.74, 4 Np 2.74
4 Ge 0.0000 0.0000 0.5000  4 Co 2.74, 4 Tc 2.74

=====

[3]
The following is a DFT calculation (PBE) of an optimized crystal structure of NpZnCo2Ge2.

Energy ... -6.48 eV per atom
Size of the total moment ... 0.635 μB/atom
Energy of formation from the pure elements ... -0.1999 eV/atom

a b c (Å): 4.0481 4.0481 6.6801
angles (deg): 90.00 90.00 120.00
Closest atoms and distances in Å follow each position.
Space group P-3m1 (No. 164)
One atom of each set of equivalent atoms:
1 Np 0.0000 0.0000 0.0000  6 Ge 2.95
2 Zn 0.0000 0.0000 0.5000  6 Co 2.51, 6 Ge 2.80
3 Co 0.3333 0.6667 0.6354  4 Ge 2.42-2.44, 3 Zn 2.51
4 Ge 0.3333 0.6667 0.2702  4 Co 2.42-2.44